## Nd3HgOs (PBE)

Data for a relaxed structure of Nd3HgOs.

Computed properties:
Final energy, eV for the cell shown: -53.718
E_form, meV/atom: -205
Distance to the lowest polymorph of the same formula, meV/atom: 42
Total magnetization, μB per formula unit: 0.00

Lattice parameters (Å, degrees): 8.474 4.238 8.570 90.00 109.91 90.00
Space group P2_1/m (No. 11)
Asymmetric unit:
Nd  0.052  0.250  0.221 [2 per cell]
Nd  0.317  0.250  0.910 [2 per cell]
Nd  0.341  0.750  0.579 [2 per cell]
Hg  0.339  0.750  0.199 [2 per cell]
Os  0.077  0.250  0.559 [2 per cell]